Density functional theory data (GGA-PBE) for a geometry-optimized TbPmYAl structure.

a b c (Å): 3.542 3.542 9.115
angles (deg): 90.00 90.00 90.00
Fractional coordinates of all 4 atoms:
Pm 0.000 0.000 0.071
Al 0.000 0.000 0.572
Y 0.500 0.500 0.781
Tb 0.500 0.500 0.361

Calculated values
The total energy comes out at -20.37 eV/cell. For the density of states at the Fermi level, the calculation gives 3.30 states/eV/f.u. As for the formation energy: -196.8 meV per atom. Its total magnetic moment is 0.00 μB per formula unit.